Here is an optimized crystal structure of LaRhI from Alexandria. Energies are from PBE.

Density: 6.439 Mg/m³
Symmetry: C2/m (12)
Magnetic moment: 0.00 μB/f.u.
Raw formation energy: -946 meV per atom

Cell lengths 5.485, 4.148, 12.844 Å; angles 111.93, 90.00, 131.39 degrees
Fractional positions:
Rh 0.707 0.415 0.608
Rh 0.293 0.585 0.392
La 0.675 0.350 0.345
La 0.325 0.650 0.655
I 0.908 0.817 0.159
I 0.092 0.183 0.841